{"formula": "Pr6SnHg", "functional": "PBE", "state": "relaxed", "lattice": [[5.0016, 0.0000, 0.0000], [0.0000, 5.0016, 0.0000], [0.0000, 0.0000, 9.9275]], "species": ["Hg", "Pr", "Pr", "Pr", "Pr", "Pr", "Pr", "Sn"], "fractional_positions": [[0.0000, 0.0000, 0.0000], [0.0000, 0.5000, 0.7483], [0.5000, 0.0000, 0.2517], [0.5000, 0.5000, 0.0000], [0.5000, 0.0000, 0.7483], [0.0000, 0.5000, 0.2517], [0.5000, 0.5000, 0.5000], [0.0000, 0.0000, 0.5000]], "formation_energy_mev_per_atom": -314, "dft_energy_ev_per_cell": -35.5, "crystal_system": "tetragonal"}